No. 1
Material: SmDy12Er6
Method: DFT, PBE-GGA
State: optimized geometry

CIF file:
```
data_SmDy12Er6
_cell_length_a 11.8335
_cell_length_b 11.8335
_cell_length_c 15.0966
_cell_angle_alpha 90.00
_cell_angle_beta 90.00
_cell_angle_gamma 120.00
_space_group_name_H-M_alt 'R -3'
_space_group_IT_number 148
_space_group_name_Hall '-R 3'
loop_
_atom_site_label
_atom_site_fract_x
_atom_site_fract_y
_atom_site_fract_z
_atom_site_occupancy
Sm1 0.0000 0.0000 0.0000 1
Dy1 0.0148 0.1808 0.1914 1
Dy2 0.0416 0.1909 0.4159 1
Er1 0.0099 0.5866 0.6806 1
```

**Energy relative to the lowest polymorph listed for this composition**: 0 meV per atom
**ΔE_f**: 0.156 eV per atom

=====

No. 2
Material: RbAlHg2F8
Method: DFT, PBE-GGA
State: optimized geometry

CIF file:
```
data_RbAlHg2F8
_cell_length_a 5.0191
_cell_length_b 5.2598
_cell_length_c 7.5557
_cell_angle_alpha 81.51
_cell_angle_beta 86.63
_cell_angle_gamma 88.10
_space_group_name_H-M_alt 'P -1'
_space_group_IT_number 2
_space_group_name_Hall '-P 1'
loop_
_atom_site_label
_atom_site_fract_x
_atom_site_fract_y
_atom_site_fract_z
_atom_site_occupancy
Rb1 0.0000 0.0000 0.0000 1
Al1 0.0000 0.0000 0.5000 1
Hg1 0.4455 0.4523 0.2603 1
F1 0.1268 0.7752 0.6877 1
F2 0.1754 0.8256 0.3398 1
F3 0.2938 0.2180 0.4993 1
F4 0.4505 0.2713 0.9639 1
```

**E_form (uncorrected)**: -2.3378 eV per atom

=====

No. 3
Material: Hg2MoPt
Method: DFT, PBE-GGA
State: optimized geometry

CIF file:
```
data_Hg2MoPt
_cell_length_a 4.3206
_cell_length_b 4.3206
_cell_length_c 7.9508
_cell_angle_alpha 90.00
_cell_angle_beta 90.00
_cell_angle_gamma 90.00
_space_group_name_H-M_alt 'I 4/m m m'
_space_group_IT_number 139
_space_group_name_Hall '-I 4 2'
loop_
_atom_site_label
_atom_site_fract_x
_atom_site_fract_y
_atom_site_fract_z
_atom_site_occupancy
Hg1 0.0000 0.5000 0.2500 1
Mo1 0.0000 0.0000 0.0000 1
Pt1 0.0000 0.0000 0.5000 1
```

**Energy relative to the lowest polymorph listed for this composition**: 355 meV per atom
**ΔE_f**: 0.483 eV per atom

=====

No. 4
Material: NaLaPb2
Method: DFT, PBE-GGA
State: optimized geometry

CIF file:
```
data_NaLaPb2
_cell_length_a 5.1354
_cell_length_b 5.1354
_cell_length_c 21.0500
_cell_angle_alpha 90.00
_cell_angle_beta 90.00
_cell_angle_gamma 90.00
_space_group_name_H-M_alt 'I -4 2 d'
_space_group_IT_number 122
_space_group_name_Hall 'I -4 2bw'
loop_
_atom_site_label
_atom_site_fract_x
_atom_site_fract_y
_atom_site_fract_z
_atom_site_occupancy
Na1 0.0000 0.0000 0.0000 1
La1 0.0000 0.0000 0.5000 1
Pb1 0.2037 0.2500 0.1250 1
```

**ΔE_f**: -0.048 eV per atom

=====

No. 5
Material: MgTiC2I
Method: DFT, PBE-GGA
State: optimized geometry

CIF file:
```
data_MgTiC2I
_cell_length_a 4.0723
_cell_length_b 4.0723
_cell_length_c 5.7969
_cell_angle_alpha 90.00
_cell_angle_beta 90.00
_cell_angle_gamma 90.00
_space_group_name_H-M_alt 'P 4/m m m'
_space_group_IT_number 123
_space_group_name_Hall '-P 4 2'
loop_
_atom_site_label
_atom_site_fract_x
_atom_site_fract_y
_atom_site_fract_z
_atom_site_occupancy
Mg1 0.0000 0.0000 0.0000 1
Ti1 0.5000 0.5000 0.5000 1
C1 0.0000 0.5000 0.5000 1
I1 0.5000 0.5000 0.0000 1
```

**E_form (uncorrected)**: 1.1108 eV per atom

=====

No. 6
Material: MgTlSN2
Method: DFT, PBE-GGA
State: optimized geometry

CIF file:
```
data_MgTlSN2
_cell_length_a 4.2114
_cell_length_b 4.2114
_cell_length_c 5.7752
_cell_angle_alpha 90.00
_cell_angle_beta 90.00
_cell_angle_gamma 90.00
_space_group_name_H-M_alt 'P 4/m m m'
_space_group_IT_number 123
_space_group_name_Hall '-P 4 2'
loop_
_atom_site_label
_atom_site_fract_x
_atom_site_fract_y
_atom_site_fract_z
_atom_site_occupancy
Mg1 0.0000 0.0000 0.0000 1
Tl1 0.5000 0.5000 0.5000 1
S1 0.5000 0.5000 0.0000 1
N1 0.0000 0.5000 0.5000 1
```

**Energy relative to the lowest polymorph listed for this composition**: 370 meV per atom
**E_form (uncorrected)**: 1.4063 eV per atom

=====

No. 7
Material: YBPS2
Method: DFT, PBE-GGA
State: optimized geometry

CIF file:
```
data_YBPS2
_cell_length_a 5.2254
_cell_length_b 5.2254
_cell_length_c 5.4085
_cell_angle_alpha 90.00
_cell_angle_beta 90.00
_cell_angle_gamma 90.00
_space_group_name_H-M_alt 'P 4/m m m'
_space_group_IT_number 123
_space_group_name_Hall '-P 4 2'
loop_
_atom_site_label
_atom_site_fract_x
_atom_site_fract_y
_atom_site_fract_z
_atom_site_occupancy
Y1 0.0000 0.0000 0.0000 1
B1 0.5000 0.5000 0.5000 1
P1 0.0000 0.0000 0.5000 1
S1 0.0000 0.5000 0.0000 1
```

**Energy relative to the lowest polymorph listed for this composition**: 1176 meV per atom
**E_form (uncorrected)**: 0.9539 eV per atom

=====

No. 8
Material: NdDyHoZr
Method: DFT, PBE-GGA
State: optimized geometry

CIF file:
```
data_NdDyHoZr
_cell_length_a 7.8107
_cell_length_b 7.8107
_cell_length_c 7.8107
_cell_angle_alpha 90.00
_cell_angle_beta 90.00
_cell_angle_gamma 90.00
_space_group_name_H-M_alt 'F -4 3 m'
_space_group_IT_number 216
_space_group_name_Hall 'F -4 2 3'
loop_
_atom_site_label
_atom_site_fract_x
_atom_site_fract_y
_atom_site_fract_z
_atom_site_occupancy
Nd1 0.0000 0.0000 0.0000 1
Dy1 0.2500 0.2500 0.7500 1
Ho1 0.2500 0.2500 0.2500 1
Zr1 0.0000 0.0000 0.5000 1
```

**ΔE_f**: 0.227 eV per atom

=====

| no. | final energy (eV per cell) | size of the total moment (μB per formula unit) |
| --- | --- | --- |
| 1 | -253.07 | 0.0 |
| 2 | -48.34 | 0.0 |
| 3 | -31.09 | 2.4 |
| 4 | -55.42 | 0.0 |
| 5 | -23.93 | 0.0 |
| 6 | -17.71 | 2.5 |
| 7 | -22.04 | 1.4 |
| 8 | -86.34 | 1.5 |